w) # SnIrF2 (GGA-PBE, optimized geometry)
# - N(E_F) (states/eV/atom) = 0.473
data_SnIrF2
_cell_length_a 9.059
_cell_length_b 9.059
_cell_length_c 9.059
_cell_angle_alpha 18.34
_cell_angle_beta 18.34
_cell_angle_gamma 18.34
_space_group_name_H-M_alt 'P 1'
_space_group_IT_number 1
_space_group_name_Hall 'P 1'
loop_
_atom_site_label
_atom_site_fract_x
_atom_site_fract_y
_atom_site_fract_z
_atom_site_occupancy
Sn1 0.000 0.000 0.000 1
Ir1 0.500 0.500 0.500 1
F1 0.077 0.077 0.077 1
F2 0.923 0.923 0.923 1

---

x) # SnIrF2 (GGA-PBE, optimized geometry)
# - N(E_F) (states/eV/atom) = 0.852
data_SnIrF2
_cell_length_a 8.288
_cell_length_b 8.288
_cell_length_c 8.288
_cell_angle_alpha 20.41
_cell_angle_beta 20.41
_cell_angle_gamma 20.41
_space_group_name_H-M_alt 'P 1'
_space_group_IT_number 1
_space_group_name_Hall 'P 1'
loop_
_atom_site_label
_atom_site_fract_x
_atom_site_fract_y
_atom_site_fract_z
_atom_site_occupancy
Sn1 0.000 0.000 0.000 1
Ir1 0.500 0.500 0.500 1
F1 0.417 0.417 0.417 1
F2 0.583 0.583 0.583 1

---

y) # SnIrF2 (GGA-PBE, optimized geometry)
# - N(E_F) (states/eV/atom) = 3.225
data_SnIrF2
_cell_length_a 4.392
_cell_length_b 4.392
_cell_length_c 4.392
_cell_angle_alpha 60.00
_cell_angle_beta 60.00
_cell_angle_gamma 60.00
_space_group_name_H-M_alt 'P 1'
_space_group_IT_number 1
_space_group_name_Hall 'P 1'
loop_
_atom_site_label
_atom_site_fract_x
_atom_site_fract_y
_atom_site_fract_z
_atom_site_occupancy
Sn1 0.000 0.000 0.000 1
Ir1 0.500 0.500 0.500 1
F1 0.250 0.250 0.250 1
F2 0.750 0.750 0.750 1

---

According to the calculations, the structures order from most to least stable as x), w), y).

---

w) # SrIrF (GGA-PBE, optimized geometry)
# - N(E_F) (states/eV/atom) = 0.473
data_SrIrF
_cell_length_a 8.314
_cell_length_b 8.314
_cell_length_c 4.629
_cell_angle_alpha 90.00
_cell_angle_beta 90.00
_cell_angle_gamma 159.16
_space_group_name_H-M_alt 'P 1'
_space_group_IT_number 1
_space_group_name_Hall 'P 1'
loop_
_atom_site_label
_atom_site_fract_x
_atom_site_fract_y
_atom_site_fract_z
_atom_site_occupancy
Sr1 0.094 0.906 0.750 1
Sr2 0.906 0.094 0.250 1
Ir1 0.240 0.760 0.250 1
Ir2 0.760 0.240 0.750 1
F1 0.500 0.500 0.000 1
F2 0.500 0.500 0.500 1

---

x) # SrIrF (GGA-PBE, optimized geometry)
# - N(E_F) (states/eV/atom) = 0.481
data_SrIrF
_cell_length_a 8.613
_cell_length_b 8.613
_cell_length_c 3.960
_cell_angle_alpha 97.70
_cell_angle_beta 97.70
_cell_angle_gamma 150.25
_space_group_name_H-M_alt 'P 1'
_space_group_IT_number 1
_space_group_name_Hall 'P 1'
loop_
_atom_site_label
_atom_site_fract_x
_atom_site_fract_y
_atom_site_fract_z
_atom_site_occupancy
Sr1 0.147 0.853 0.000 1
Sr2 0.853 0.147 0.000 1
Ir1 0.322 0.322 0.643 1
Ir2 0.698 0.698 0.368 1
F1 0.421 0.827 0.261 1
F2 0.827 0.421 0.261 1

---

y) # SrIrF (GGA-PBE, optimized geometry)
# - N(E_F) (states/eV/atom) = 0.246
data_SrIrF
_cell_length_a 7.542
_cell_length_b 4.345
_cell_length_c 9.253
_cell_angle_alpha 90.00
_cell_angle_beta 90.00
_cell_angle_gamma 90.00
_space_group_name_H-M_alt 'P 1'
_space_group_IT_number 1
_space_group_name_Hall 'P 1'
loop_
_atom_site_label
_atom_site_fract_x
_atom_site_fract_y
_atom_site_fract_z
_atom_site_occupancy
Sr1 0.147 0.250 0.127 1
Sr2 0.353 0.750 0.627 1
Sr3 0.647 0.250 0.373 1
Sr4 0.853 0.750 0.873 1
Ir1 0.043 0.250 0.467 1
Ir2 0.457 0.750 0.967 1
Ir3 0.543 0.250 0.033 1
Ir4 0.957 0.750 0.533 1
F1 0.004 0.750 0.106 1
F2 0.496 0.250 0.606 1
F3 0.504 0.750 0.394 1
F4 0.996 0.250 0.894 1

---

According to the calculations, the structures order from most to least stable as x), w), y).

---

w) # SrIrF (GGA-PBE, optimized geometry)
# - N(E_F) (states/eV/atom) = 0.666
data_SrIrF
_cell_length_a 3.618
_cell_length_b 3.618
_cell_length_c 8.684
_cell_angle_alpha 90.00
_cell_angle_beta 90.00
_cell_angle_gamma 90.00
_space_group_name_H-M_alt 'P 1'
_space_group_IT_number 1
_space_group_name_Hall 'P 1'
loop_
_atom_site_label
_atom_site_fract_x
_atom_site_fract_y
_atom_site_fract_z
_atom_site_occupancy
Sr1 0.250 0.250 0.197 1
Sr2 0.750 0.750 0.803 1
Ir1 0.250 0.750 0.500 1
Ir2 0.750 0.250 0.500 1
F1 0.250 0.250 0.898 1
F2 0.750 0.750 0.102 1

---

x) # SrIrF (GGA-PBE, optimized geometry)
# - N(E_F) (states/eV/atom) = 2.363
data_SrIrF
_cell_length_a 4.774
_cell_length_b 4.774
_cell_length_c 4.774
_cell_angle_alpha 60.00
_cell_angle_beta 60.00
_cell_angle_gamma 60.00
_space_group_name_H-M_alt 'P 1'
_space_group_IT_number 1
_space_group_name_Hall 'P 1'
loop_
_atom_site_label
_atom_site_fract_x
_atom_site_fract_y
_atom_site_fract_z
_atom_site_occupancy
Sr1 0.000 0.000 0.000 1
Ir1 0.250 0.250 0.250 1
F1 0.500 0.500 0.500 1

---

According to the calculations, the structures order from most to least stable as w), x).

---

w) # SrIrF (GGA-PBE, optimized geometry)
# - N(E_F) (states/eV/atom) = 0.545
data_SrIrF
_cell_length_a 7.119
_cell_length_b 7.119
_cell_length_c 4.376
_cell_angle_alpha 90.00
_cell_angle_beta 90.00
_cell_angle_gamma 145.05
_space_group_name_H-M_alt 'P 1'
_space_group_IT_number 1
_space_group_name_Hall 'P 1'
loop_
_atom_site_label
_atom_site_fract_x
_atom_site_fract_y
_atom_site_fract_z
_atom_site_occupancy
Sr1 0.150 0.850 0.750 1
Sr2 0.850 0.150 0.250 1
Ir1 0.469 0.531 0.750 1
Ir2 0.531 0.469 0.250 1
F1 0.250 0.750 0.250 1
F2 0.750 0.250 0.750 1

---

x) # SrIrF (GGA-PBE, optimized geometry)
# - N(E_F) (states/eV/atom) = 0.457
data_SrIrF
_cell_length_a 4.129
_cell_length_b 4.129
_cell_length_c 8.659
_cell_angle_alpha 103.76
_cell_angle_beta 103.76
_cell_angle_gamma 62.75
_space_group_name_H-M_alt 'P 1'
_space_group_IT_number 1
_space_group_name_Hall 'P 1'
loop_
_atom_site_label
_atom_site_fract_x
_atom_site_fract_y
_atom_site_fract_z
_atom_site_occupancy
Sr1 0.097 0.097 0.291 1
Sr2 0.903 0.903 0.709 1
Ir1 0.325 0.325 0.005 1
Ir2 0.675 0.675 0.995 1
F1 0.206 0.206 0.597 1
F2 0.794 0.794 0.403 1

---

According to the calculations, the structures order from most to least stable as x), w).

---

w) # SrIrF (GGA-PBE, optimized geometry)
# - N(E_F) (states/eV/atom) = 0.000
data_SrIrF
_cell_length_a 4.433
_cell_length_b 4.433
_cell_length_c 8.252
_cell_angle_alpha 90.00
_cell_angle_beta 90.00
_cell_angle_gamma 120.00
_space_group_name_H-M_alt 'P 1'
_space_group_IT_number 1
_space_group_name_Hall 'P 1'
loop_
_atom_site_label
_atom_site_fract_x
_atom_site_fract_y
_atom_site_fract_z
_atom_site_occupancy
Sr1 0.333 0.667 0.250 1
Sr2 0.667 0.333 0.750 1
Ir1 0.000 0.000 0.000 1
Ir2 0.000 0.000 0.500 1
F1 0.000 0.000 0.250 1
F2 0.000 0.000 0.750 1

---

x) # SrIrF (GGA-PBE, optimized geometry)
# - N(E_F) (states/eV/atom) = 0.241
data_SrIrF
_cell_length_a 3.522
_cell_length_b 3.522
_cell_length_c 9.052
_cell_angle_alpha 89.74
_cell_angle_beta 88.98
_cell_angle_gamma 89.98
_space_group_name_H-M_alt 'P 1'
_space_group_IT_number 1
_space_group_name_Hall 'P 1'
loop_
_atom_site_label
_atom_site_fract_x
_atom_site_fract_y
_atom_site_fract_z
_atom_site_occupancy
Sr1 0.000 0.000 0.000 1
Sr2 0.485 0.496 0.394 1
Ir1 0.485 0.482 0.730 1
Ir2 0.988 0.982 0.664 1
F1 0.498 0.501 0.107 1
F2 0.989 0.998 0.287 1

---

y) # SrIrF (GGA-PBE, optimized geometry)
# - N(E_F) (states/eV/atom) = 2.721
data_SrIrF
_cell_length_a 4.538
_cell_length_b 4.538
_cell_length_c 4.538
_cell_angle_alpha 60.00
_cell_angle_beta 60.00
_cell_angle_gamma 60.00
_space_group_name_H-M_alt 'P 1'
_space_group_IT_number 1
_space_group_name_Hall 'P 1'
loop_
_atom_site_label
_atom_site_fract_x
_atom_site_fract_y
_atom_site_fract_z
_atom_site_occupancy
Sr1 0.000 0.000 0.000 1
Ir1 0.500 0.500 0.500 1
F1 0.750 0.750 0.750 1

---

According to the calculations, the structures order from most to least stable as x), w), y).

---

w) # SrIrF (GGA-PBE, optimized geometry)
# - N(E_F) (states/eV/atom) = 0.024
data_SrIrF
_cell_length_a 6.518
_cell_length_b 3.063
_cell_length_c 11.659
_cell_angle_alpha 90.00
_cell_angle_beta 90.00
_cell_angle_gamma 90.00
_space_group_name_H-M_alt 'P 1'
_space_group_IT_number 1
_space_group_name_Hall 'P 1'
loop_
_atom_site_label
_atom_site_fract_x
_atom_site_fract_y
_atom_site_fract_z
_atom_site_occupancy
Sr1 0.236 0.250 0.185 1
Sr2 0.264 0.750 0.685 1
Sr3 0.736 0.250 0.315 1
Sr4 0.764 0.750 0.815 1
Ir1 0.118 0.750 0.443 1
Ir2 0.382 0.250 0.943 1
Ir3 0.618 0.750 0.057 1
Ir4 0.882 0.250 0.557 1
F1 0.070 0.250 0.822 1
F2 0.430 0.750 0.322 1
F3 0.570 0.250 0.678 1
F4 0.930 0.750 0.178 1

---

x) # SrIrF (GGA-PBE, optimized geometry)
# - N(E_F) (states/eV/atom) = 0.665
data_SrIrF
_cell_length_a 9.045
_cell_length_b 9.045
_cell_length_c 9.045
_cell_angle_alpha 156.93
_cell_angle_beta 156.93
_cell_angle_gamma 32.86
_space_group_name_H-M_alt 'P 1'
_space_group_IT_number 1
_space_group_name_Hall 'P 1'
loop_
_atom_site_label
_atom_site_fract_x
_atom_site_fract_y
_atom_site_fract_z
_atom_site_occupancy
Sr1 0.151 0.151 0.000 1
Sr2 0.849 0.849 0.000 1
Ir1 0.000 0.500 0.500 1
Ir2 0.500 0.000 0.500 1
F1 0.301 0.301 0.000 1
F2 0.699 0.699 0.000 1

---

According to the calculations, the structures order from most to least stable as x), w).

---

w) # SrIr3F (GGA-PBE, optimized geometry)
# - N(E_F) (states/eV/atom) = 1.439
data_SrIr3F
_cell_length_a 5.178
_cell_length_b 5.178
_cell_length_c 5.178
_cell_angle_alpha 90.00
_cell_angle_beta 90.00
_cell_angle_gamma 90.00
_space_group_name_H-M_alt 'P 1'
_space_group_IT_number 1
_space_group_name_Hall 'P 1'
loop_
_atom_site_label
_atom_site_fract_x
_atom_site_fract_y
_atom_site_fract_z
_atom_site_occupancy
Sr1 0.000 0.000 0.000 1
Ir1 0.000 0.000 0.500 1
Ir2 0.000 0.500 0.000 1
Ir3 0.500 0.000 0.000 1
F1 0.500 0.500 0.500 1

---

x) # SrIr3F (GGA-PBE, optimized geometry)
# - N(E_F) (states/eV/atom) = 1.425
data_SrIr3F
_cell_length_a 4.472
_cell_length_b 4.472
_cell_length_c 4.472
_cell_angle_alpha 90.00
_cell_angle_beta 90.00
_cell_angle_gamma 90.00
_space_group_name_H-M_alt 'P 1'
_space_group_IT_number 1
_space_group_name_Hall 'P 1'
loop_
_atom_site_label
_atom_site_fract_x
_atom_site_fract_y
_atom_site_fract_z
_atom_site_occupancy
Sr1 0.000 0.000 0.000 1
Ir1 0.000 0.500 0.500 1
Ir2 0.500 0.000 0.500 1
Ir3 0.500 0.500 0.000 1
F1 0.500 0.500 0.500 1

---

According to the calculations, the structures order from most to least stable as x), w).

---

w) # TaIrF3 (GGA-PBE, optimized geometry)
# - N(E_F) (states/eV/atom) = 1.353
data_TaIrF3
_cell_length_a 4.287
_cell_length_b 4.287
_cell_length_c 4.287
_cell_angle_alpha 90.00
_cell_angle_beta 90.00
_cell_angle_gamma 90.00
_space_group_name_H-M_alt 'P 1'
_space_group_IT_number 1
_space_group_name_Hall 'P 1'
loop_
_atom_site_label
_atom_site_fract_x
_atom_site_fract_y
_atom_site_fract_z
_atom_site_occupancy
Ta1 0.000 0.000 0.000 1
Ir1 0.500 0.500 0.500 1
F1 0.000 0.500 0.500 1
F2 0.500 0.000 0.500 1
F3 0.500 0.500 0.000 1

---

x) # TaIrF3 (GGA-PBE, optimized geometry)
# - N(E_F) (states/eV/atom) = 1.314
data_TaIrF3
_cell_length_a 4.131
_cell_length_b 4.131
_cell_length_c 4.131
_cell_angle_alpha 90.00
_cell_angle_beta 90.00
_cell_angle_gamma 90.00
_space_group_name_H-M_alt 'P 1'
_space_group_IT_number 1
_space_group_name_Hall 'P 1'
loop_
_atom_site_label
_atom_site_fract_x
_atom_site_fract_y
_atom_site_fract_z
_atom_site_occupancy
Ta1 0.000 0.000 0.000 1
Ir1 0.500 0.500 0.500 1
F1 0.000 0.000 0.500 1
F2 0.000 0.500 0.000 1
F3 0.500 0.000 0.000 1

---

According to the calculations, the structures order from most to least stable as x), w).